[1]
Entry from the Alexandria database: a geometry-optimized YW2Se structure (PBE).

The structure belongs to space group P4mm (No. 99); the cell edges are 3.325, 3.325 and 7.040 Å and the angles 90.00°, 90.00° and 90.00°. The inequivalent atoms are Y at (0.000, 0.000, 0.000), W at (0.000, 0.000, 0.519), W at (0.500, 0.500, 0.707) and Se at (0.500, 0.500, 0.292).

The calculation puts the electronic total energy at -35.64 eV/cell. The value obtained for the volume is 77.8 Å³ per cell.

***

[2]
Entry from the Alexandria database: a geometry-optimized EuGdSc2 structure (PBE).

The structure belongs to space group R-3m (No. 166, hexagonal axes); the cell edges are 3.3800, 3.3800 and 35.7540 Å and the angles 90.00°, 90.00° and 120.00°. The inequivalent atoms are Eu at (0.0000, 0.0000, 0.0000), Gd at (0.0000, 0.0000, 0.5000) and Sc at (0.0000, 0.0000, 0.0906).

Its excess energy over the best structure of this formula in the dataset is 0.35 eV per formula unit. The calculation puts the electronic total energy at -108.15 eV/cell. The value obtained for the volume is 353.7 Å³ per cell. The value obtained for the formation energy is 242 meV per atom.